Material: HgAu2F8
Method: DFT, PBE
State: relaxed

Summary:
Formation energy without anion corrections = -1.17 eV/atom
Calculated total energy = -34.69 eV per formula unit

Cell: 5.9206 5.9206 10.6609 Å, 90.00 90.00 90.00°
Space group P4/mcc (No. 124)
Inequivalent atoms, fractional coordinates:
Hg: 0.0000 0.0000 0.2500 [2 per cell]
Au: 0.0000 0.5000 0.0000 [4 per cell]
F: 0.1504 0.3129 0.1282 [16 per cell]

Material: Ta3GeS8
Method: DFT, PBE
State: relaxed

Summary:
Formation energy without anion corrections = -0.81 eV/atom
Calculated total energy = -82.89 eV per formula unit

Cell: 6.9732 6.9732 12.7852 Å, 90.00 90.00 120.00°
Space group P6_3mc (No. 186)
Inequivalent atoms, fractional coordinates:
Ta: 0.1637 0.3274 0.0000 [6 per cell]
Ge: 0.3333 0.6667 0.2282 [2 per cell]
S: 0.0000 0.0000 0.1193 [2 per cell]
S: 0.0052 0.5026 0.1173 [6 per cell]
S: 0.1641 0.3282 0.3941 [6 per cell]
S: 0.3333 0.6667 0.8880 [2 per cell]

Material: Ti2CoNi2
Method: DFT, PBE
State: relaxed

Summary:
Energy relative to the elements = -1.22 eV/f.u.
Calculated total energy = -35.68 eV per formula unit

Cell: 6.6256 6.6256 2.9990 Å, 90.00 90.00 90.00°
Space group P4/mbm (No. 127)
Inequivalent atoms, fractional coordinates:
Ti: 0.1774 0.3226 0.0000 [4 per cell]
Co: 0.0000 0.0000 0.5000 [2 per cell]
Ni: 0.1272 0.6272 0.5000 [4 per cell]

Material: Er2BiPt2
Method: DFT, PBE
State: relaxed

Summary:
Energy relative to the elements = -5.52 eV/f.u.
Calculated total energy = -30.61 eV per formula unit

Cell: 8.0273 8.0273 3.5021 Å, 90.00 90.00 90.00°
Space group P4/mbm (No. 127)
Inequivalent atoms, fractional coordinates:
Er: 0.1638 0.3362 0.0000 [4 per cell]
Bi: 0.0000 0.0000 0.5000 [2 per cell]
Pt: 0.1276 0.6276 0.5000 [4 per cell]